(1)
The following is a DFT calculation (PBE-GGA) of KYAu3 after structural relaxation.

The structure in CIF format:
```
data_KYAu3
_cell_length_a 5.3310
_cell_length_b 5.3310
_cell_length_c 5.3310
_cell_angle_alpha 90.00
_cell_angle_beta 90.00
_cell_angle_gamma 90.00
_symmetry_space_group_name_H-M 'P m -3 m'
_symmetry_Int_Tables_number 221
_symmetry_space_group_name_Hall '-P 4 2 3'
loop_
_atom_site_label
_atom_site_type_symbol
_atom_site_fract_x
_atom_site_fract_y
_atom_site_fract_z
_atom_site_occupancy
K1 K 0.0000 0.0000 0.0000 1
Y1 Y 0.5000 0.5000 0.5000 1
Au1 Au 0.0000 0.0000 0.5000 1
```

Calculated density, g/cm³: 7.88
D(E_F), states/eV per cell: 2.094
Crystal system: cubic
Distance to the lowest polymorph of the same formula, meV per atom: 756
DFT formation energy, eV per formula unit: 3.1

(2)
The following is a DFT calculation (PBE-GGA) of K4ErPu3S8 after structural relaxation.

The structure in CIF format:
```
data_K4ErPu3S8
_cell_length_a 14.6478
_cell_length_b 8.0036
_cell_length_c 7.3252
_cell_angle_alpha 90.00
_cell_angle_beta 90.91
_cell_angle_gamma 90.00
_symmetry_space_group_name_H-M 'C 1 2/m 1'
_symmetry_Int_Tables_number 12
_symmetry_space_group_name_Hall '-C 2y'
loop_
_atom_site_label
_atom_site_type_symbol
_atom_site_fract_x
_atom_site_fract_y
_atom_site_fract_z
_atom_site_occupancy
K1 K 0.0000 0.0000 0.0000 1
K2 K 0.0000 0.5000 0.0000 1
K3 K 0.2500 0.2500 0.5000 1
Er1 Er 0.0000 0.0000 0.5000 1
Pu1 Pu 0.0000 0.5000 0.5000 1
Pu2 Pu 0.2500 0.2500 0.0000 1
S1 S 0.0747 0.2450 0.2923 1
S2 S 0.1723 0.0000 0.7860 1
S3 S 0.1722 0.5000 0.7880 1
```

Calculated density, g/cm³: 5.08
D(E_F), states/eV per cell: 77.599
Crystal system: monoclinic
E_form (uncorrected), eV per atom: -1.38

(3)
The following is a DFT calculation (PBE-GGA) of HgCI2N after structural relaxation.

The structure in CIF format:
```
data_HgCI2N
_cell_length_a 7.9639
_cell_length_b 7.9639
_cell_length_c 2.6607
_cell_angle_alpha 90.00
_cell_angle_beta 90.00
_cell_angle_gamma 90.00
_symmetry_space_group_name_H-M 'P 4/m m m'
_symmetry_Int_Tables_number 123
_symmetry_space_group_name_Hall '-P 4 2'
loop_
_atom_site_label
_atom_site_type_symbol
_atom_site_fract_x
_atom_site_fract_y
_atom_site_fract_z
_atom_site_occupancy
Hg1 Hg 0.0000 0.0000 0.0000 1
C1 C 0.5000 0.5000 0.5000 1
I1 I 0.0000 0.5000 0.5000 1
N1 N 0.5000 0.5000 0.0000 1
```

Calculated density, g/cm³: 4.73
D(E_F), states/eV per cell: 2.855
Crystal system: tetragonal
Distance to the lowest polymorph of the same formula, meV per atom: 0
E_form (uncorrected), eV per atom: 0.69

(4)
The following is a DFT calculation (PBE-GGA) of LaHo10Er4 after structural relaxation.

The structure in CIF format:
```
data_LaHo10Er4
_cell_length_a 12.7530
_cell_length_b 12.7530
_cell_length_c 6.5139
_cell_angle_alpha 90.00
_cell_angle_beta 90.00
_cell_angle_gamma 90.00
_symmetry_space_group_name_H-M 'I 4/m'
_symmetry_Int_Tables_number 87
_symmetry_space_group_name_Hall '-I 4'
loop_
_atom_site_label
_atom_site_type_symbol
_atom_site_fract_x
_atom_site_fract_y
_atom_site_fract_z
_atom_site_occupancy
La1 La 0.0000 0.0000 0.0000 1
Ho1 Ho 0.0000 0.5000 0.2500 1
Ho2 Ho 0.1285 0.2902 0.2488 1
Er1 Er 0.0674 0.8244 0.5000 1
```

Calculated density, g/cm³: 7.70
D(E_F), states/eV per cell: 59.753
Crystal system: tetragonal
DFT formation energy, eV per formula unit: 8.4

(5)
The following is a DFT calculation (PBE-GGA) of RbAlGe after structural relaxation.

The structure in CIF format:
```
data_RbAlGe
_cell_length_a 6.3295
_cell_length_b 16.5018
_cell_length_c 4.2645
_cell_angle_alpha 90.00
_cell_angle_beta 90.00
_cell_angle_gamma 90.00
_symmetry_space_group_name_H-M 'C m c m'
_symmetry_Int_Tables_number 63
_symmetry_space_group_name_Hall '-C 2c 2'
loop_
_atom_site_label
_atom_site_type_symbol
_atom_site_fract_x
_atom_site_fract_y
_atom_site_fract_z
_atom_site_occupancy
Rb1 Rb 0.0000 0.1598 0.2500 1
Al1 Al 0.0000 0.4558 0.7500 1
Ge1 Ge 0.0000 0.3789 0.2500 1
```

Calculated density, g/cm³: 2.76
D(E_F), states/eV per cell: 0.000
Crystal system: orthorhombic
DFT formation energy, eV per formula unit: 0.1

(6)
The following is a DFT calculation (PBE-GGA) of BeRe2Pb after structural relaxation.

The structure in CIF format:
```
data_BeRe2Pb
_cell_length_a 3.0432
_cell_length_b 3.0432
_cell_length_c 7.0225
_cell_angle_alpha 90.00
_cell_angle_beta 90.00
_cell_angle_gamma 90.00
_symmetry_space_group_name_H-M 'P 4/m m m'
_symmetry_Int_Tables_number 123
_symmetry_space_group_name_Hall '-P 4 2'
loop_
_atom_site_label
_atom_site_type_symbol
_atom_site_fract_x
_atom_site_fract_y
_atom_site_fract_z
_atom_site_occupancy
Be1 Be 0.0000 0.0000 0.0000 1
Re1 Re 0.5000 0.5000 0.1690 1
Pb1 Pb 0.0000 0.0000 0.5000 1
```

Calculated density, g/cm³: 15.03
D(E_F), states/eV per cell: 2.645
Crystal system: tetragonal
Distance to the lowest polymorph of the same formula, meV per atom: 287
DFT formation energy, eV per formula unit: 2.5

(7)
The following is a DFT calculation (PBE-GGA) of BaPmPb2 after structural relaxation.

The structure in CIF format:
```
data_BaPmPb2
_cell_length_a 5.4145
_cell_length_b 5.4145
_cell_length_c 4.6700
_cell_angle_alpha 90.00
_cell_angle_beta 90.00
_cell_angle_gamma 90.00
_symmetry_space_group_name_H-M 'P 4/m m m'
_symmetry_Int_Tables_number 123
_symmetry_space_group_name_Hall '-P 4 2'
loop_
_atom_site_label
_atom_site_type_symbol
_atom_site_fract_x
_atom_site_fract_y
_atom_site_fract_z
_atom_site_occupancy
Ba1 Ba 0.0000 0.0000 0.0000 1
Pm1 Pm 0.5000 0.5000 0.0000 1
Pb1 Pb 0.0000 0.5000 0.5000 1
```

Calculated density, g/cm³: 8.45
D(E_F), states/eV per cell: 3.107
Crystal system: tetragonal
DFT formation energy, eV per formula unit: -1.6

(8)
The following is a DFT calculation (PBE-GGA) of HoThPt after structural relaxation.

The structure in CIF format:
```
data_HoThPt
_cell_length_a 5.5368
_cell_length_b 5.5373
_cell_length_c 11.3755
_cell_angle_alpha 90.00
_cell_angle_beta 104.05
_cell_angle_gamma 90.00
_symmetry_space_group_name_H-M 'C 1 c 1'
_symmetry_Int_Tables_number 9
_symmetry_space_group_name_Hall 'C -2yc'
loop_
_atom_site_label
_atom_site_type_symbol
_atom_site_fract_x
_atom_site_fract_y
_atom_site_fract_z
_atom_site_occupancy
Ho1 Ho 0.0000 0.1255 0.0000 1
Th1 Th 0.1057 0.3745 0.7119 1
Pt1 Pt 0.1518 0.1255 0.3044 1
```

Calculated density, g/cm³: 11.62
D(E_F), states/eV per cell: 12.384
Crystal system: monoclinic
Distance to the lowest polymorph of the same formula, meV per atom: 0
DFT formation energy, eV per formula unit: -2.1

- Among the records above, which one has the highest D(E_F)?
  K4ErPu3S8

- D(E_F) of number 7 (BaPmPb2)?
  3.107 states/eV per cell

- What is the D(E_F) in the eighth record?
  12.384 states/eV per cell